This record from the Alexandria database describes an optimized crystal structure of Ce4GaCo. The functional is PBE.

Cell: 8.717 8.717 5.550 Å, 107.63 107.63 44.92°
Atoms (fractional coordinates):
Ce (0.090, 0.658, 0.366)
Ce (0.220, 0.780, 0.000)
Ce (0.298, 0.298, 0.796)
Ce (0.342, 0.910, 0.634)
Ce (0.658, 0.090, 0.366)
Ce (0.702, 0.702, 0.204)
Ce (0.780, 0.220, 0.000)
Ce (0.910, 0.342, 0.634)
Ga (0.193, 0.193, 0.197)
Ga (0.807, 0.807, 0.803)
Co (0.465, 0.465, 0.659)
Co (0.535, 0.535, 0.341)

- D(E_F) (states/eV/f.u.) = 14.99
- energy (eV per atom) = -5.87
- symmetry = C2/m (12)
- formation enthalpy at 0 K (eV per atom) = -0.2227

This record from the Alexandria database describes an optimized crystal structure of Ce3Ga7Co4. The functional is PBE.

Cell: 7.721 7.721 8.936 Å, 119.25 119.25 31.43°
Atoms (fractional coordinates):
Ce (0.000, 0.000, 0.000)
Ce (0.309, 0.309, 0.294)
Ce (0.691, 0.691, 0.706)
Ga (0.000, 0.000, 0.500)
Ga (0.156, 0.156, 0.424)
Ga (0.323, 0.323, 0.970)
Ga (0.489, 0.489, 0.712)
Ga (0.511, 0.511, 0.288)
Ga (0.677, 0.677, 0.030)
Ga (0.844, 0.844, 0.576)
Co (0.102, 0.102, 0.855)
Co (0.325, 0.325, 0.704)
Co (0.675, 0.675, 0.296)
Co (0.898, 0.898, 0.145)

- D(E_F) (states/eV/f.u.) = 11.15
- energy (eV per atom) = -5.28
- symmetry = C2/m (12)
- formation enthalpy at 0 K (eV per atom) = -0.4671

This record from the Alexandria database describes an optimized crystal structure of CeGaCo. The functional is PBE.

Cell: 6.211 6.211 6.211 Å, 90.00 90.00 90.00°
Atoms (fractional coordinates):
Ce (0.000, 0.000, 0.000)
Ce (0.000, 0.500, 0.500)
Ce (0.500, 0.000, 0.500)
Ce (0.500, 0.500, 0.000)
Ga (0.000, 0.000, 0.500)
Ga (0.000, 0.500, 0.000)
Ga (0.500, 0.000, 0.000)
Ga (0.500, 0.500, 0.500)
Co (0.250, 0.250, 0.750)
Co (0.250, 0.750, 0.250)
Co (0.750, 0.250, 0.250)
Co (0.750, 0.750, 0.750)

- D(E_F) (states/eV/f.u.) = 5.59
- energy (eV per atom) = -5.68
- symmetry = F-43m (216)
- formation enthalpy at 0 K (eV per atom) = -0.3219

This record from the Alexandria database describes an optimized crystal structure of CeGa6Co2. The functional is PBE.

Cell: 8.107 8.107 8.107 Å, 60.00 60.00 60.00°
Atoms (fractional coordinates):
Ce (0.125, 0.125, 0.125)
Ce (0.875, 0.875, 0.875)
Ga (0.151, 0.151, 0.599)
Ga (0.151, 0.599, 0.151)
Ga (0.151, 0.599, 0.599)
Ga (0.401, 0.401, 0.849)
Ga (0.401, 0.849, 0.401)
Ga (0.401, 0.849, 0.849)
Ga (0.599, 0.151, 0.151)
Ga (0.599, 0.151, 0.599)
Ga (0.599, 0.599, 0.151)
Ga (0.849, 0.401, 0.401)
Ga (0.849, 0.401, 0.849)
Ga (0.849, 0.849, 0.401)
Co (0.000, 0.500, 0.500)
Co (0.500, 0.000, 0.500)
Co (0.500, 0.500, 0.000)
Co (0.500, 0.500, 0.500)

- D(E_F) (states/eV/f.u.) = 14.30
- energy (eV per atom) = -4.13
- symmetry = Fd-3m (227)
- formation enthalpy at 0 K (eV per atom) = 0.1223

This record from the Alexandria database describes an optimized crystal structure of Ce4Ga16Co3. The functional is PBE.

Cell: 6.114 6.114 11.155 Å, 90.00 90.00 90.00°
Atoms (fractional coordinates):
Ce (0.000, 0.500, 0.195)
Ce (0.000, 0.500, 0.805)
Ce (0.500, 0.000, 0.195)
Ce (0.500, 0.000, 0.805)
Ga (0.000, 0.000, 0.198)
Ga (0.000, 0.000, 0.802)
Ga (0.219, 0.219, 0.000)
Ga (0.219, 0.781, 0.000)
Ga (0.249, 0.249, 0.385)
Ga (0.249, 0.249, 0.615)
Ga (0.249, 0.751, 0.385)
Ga (0.249, 0.751, 0.615)
Ga (0.500, 0.500, 0.222)
Ga (0.500, 0.500, 0.778)
Ga (0.751, 0.249, 0.385)
Ga (0.751, 0.249, 0.615)
Ga (0.751, 0.751, 0.385)
Ga (0.751, 0.751, 0.615)
Ga (0.781, 0.219, 0.000)
Ga (0.781, 0.781, 0.000)
Co (0.000, 0.500, 0.500)
Co (0.500, 0.000, 0.500)
Co (0.500, 0.500, 0.000)

- D(E_F) (states/eV/f.u.) = 17.94
- energy (eV per atom) = -4.57
- symmetry = P4/mmm (123)
- formation enthalpy at 0 K (eV per atom) = -0.5054

This record from the Alexandria database describes an optimized crystal structure of CeGaCo. The functional is PBE.

Cell: 5.770 6.091 8.448 Å, 90.00 130.27 90.00°
Atoms (fractional coordinates):
Ce (0.193, 0.128, 0.403)
Ce (0.193, 0.372, 0.903)
Ce (0.807, 0.628, 0.097)
Ce (0.807, 0.872, 0.597)
Ga (0.289, 0.618, 0.603)
Ga (0.289, 0.882, 0.103)
Ga (0.711, 0.118, 0.897)
Ga (0.711, 0.382, 0.397)
Co (0.319, 0.627, 0.330)
Co (0.319, 0.873, 0.830)
Co (0.681, 0.127, 0.170)
Co (0.681, 0.373, 0.670)

- D(E_F) (states/eV/f.u.) = 1.61
- energy (eV per atom) = -5.90
- symmetry = P2_1/c (14)
- formation enthalpy at 0 K (eV per atom) = -0.5456

This record from the Alexandria database describes an optimized crystal structure of Ce7GaCo2. The functional is PBE.

Cell: 7.836 7.836 4.790 Å, 90.00 90.00 112.78°
Atoms (fractional coordinates):
Ce (0.000, 0.000, 0.000)
Ce (0.213, 0.787, 0.500)
Ce (0.218, 0.456, 0.000)
Ce (0.456, 0.218, 0.000)
Ce (0.544, 0.782, 0.000)
Ce (0.782, 0.544, 0.000)
Ce (0.787, 0.213, 0.500)
Ga (0.500, 0.500, 0.500)
Co (0.183, 0.817, 0.000)
Co (0.817, 0.183, 0.000)

- D(E_F) (states/eV/f.u.) = 27.10
- energy (eV per atom) = -5.90
- symmetry = Cmmm (65)
- formation enthalpy at 0 K (eV per atom) = -0.0213

This record from the Alexandria database describes an optimized crystal structure of CeGaCo. The functional is PBE.

Cell: 4.219 4.407 6.391 Å, 90.00 105.11 90.00°
Atoms (fractional coordinates):
Ce (0.196, 0.250, 0.187)
Ce (0.804, 0.750, 0.813)
Ga (0.259, 0.250, 0.696)
Ga (0.741, 0.750, 0.304)
Co (0.341, 0.750, 0.527)
Co (0.659, 0.250, 0.473)

- D(E_F) (states/eV/f.u.) = 3.79
- energy (eV per atom) = -5.77
- symmetry = P2_1/m (11)
- formation enthalpy at 0 K (eV per atom) = -0.4167

This record from the Alexandria database describes an optimized crystal structure of CeGaCo2. The functional is PBE.

Cell: 2.969 2.969 6.754 Å, 90.00 90.00 90.00°
Atoms (fractional coordinates):
Ce (0.000, 0.000, 0.000)
Ga (0.000, 0.000, 0.500)
Co (0.500, 0.500, 0.300)
Co (0.500, 0.500, 0.700)

- D(E_F) (states/eV/f.u.) = 5.38
- energy (eV per atom) = -5.94
- symmetry = P4/mmm (123)
- formation enthalpy at 0 K (eV per atom) = -0.1500

This record from the Alexandria database describes an optimized crystal structure of Ce4Ga12Co. The functional is PBE.

Cell: 7.517 7.517 7.517 Å, 109.47 109.47 109.47°
Atoms (fractional coordinates):
Ce (0.000, 0.000, 0.500)
Ce (0.000, 0.500, 0.000)
Ce (0.500, 0.000, 0.000)
Ce (0.500, 0.500, 0.500)
Ga (0.000, 0.285, 0.285)
Ga (0.000, 0.715, 0.715)
Ga (0.250, 0.500, 0.750)
Ga (0.250, 0.750, 0.500)
Ga (0.285, 0.000, 0.285)
Ga (0.285, 0.285, 0.000)
Ga (0.500, 0.250, 0.750)
Ga (0.500, 0.750, 0.250)
Ga (0.715, 0.000, 0.715)
Ga (0.715, 0.715, 0.000)
Ga (0.750, 0.250, 0.500)
Ga (0.750, 0.500, 0.250)
Co (0.000, 0.000, 0.000)

- D(E_F) (states/eV/f.u.) = 15.44
- energy (eV per atom) = -4.50
- symmetry = Im-3m (229)
- formation enthalpy at 0 K (eV per atom) = -0.5452

This record from the Alexandria database describes an optimized crystal structure of Ce3GaCo. The functional is PBE.

Cell: 5.079 5.079 5.079 Å, 90.00 90.00 90.00°
Atoms (fractional coordinates):
Ce (0.000, 0.000, 0.500)
Ce (0.000, 0.500, 0.000)
Ce (0.500, 0.000, 0.000)
Ga (0.500, 0.500, 0.500)
Co (0.000, 0.000, 0.000)

- D(E_F) (states/eV/f.u.) = 14.34
- energy (eV per atom) = -5.73
- E above lowest polymorph (meV per atom) = 123
- symmetry = Pm-3m (221)
- formation enthalpy at 0 K (eV per atom) = -0.1388

This record from the Alexandria database describes an optimized crystal structure of CeGa2Co3. The functional is PBE.

Cell: 5.164 5.164 3.931 Å, 90.00 90.00 120.00°
Atoms (fractional coordinates):
Ce (0.000, 0.000, 0.000)
Ga (0.333, 0.667, 0.326)
Ga (0.667, 0.333, 0.326)
Co (0.000, 0.500, 0.817)
Co (0.500, 0.000, 0.817)
Co (0.500, 0.500, 0.817)

- D(E_F) (states/eV/f.u.) = 5.72
- energy (eV per atom) = -5.94
- symmetry = P6mm (183)
- formation enthalpy at 0 K (eV per atom) = -0.3941